No. 1
# RbCePaS4, optimized geometry, DFT GGA-PBE
# - M_tot: 2.0 μB per formula unit
# - Energy: -6.36 eV/atom
# - Formation energy without anion corrections: -11.58 eV/f.u.
# - V: 32.2 A^3/atom
data_RbCePaS4
_cell_length_a 8.391
_cell_length_b 8.810
_cell_length_c 12.190
_cell_angle_alpha 90.00
_cell_angle_beta 90.00
_cell_angle_gamma 90.00
_symmetry_space_group_name_H-M 'I m m a'
_symmetry_Int_Tables_number 74
_symmetry_space_group_name_Hall '-I 2b 2'
loop_
_atom_site_label
_atom_site_fract_x
_atom_site_fract_y
_atom_site_fract_z
Rb1 0.000 0.250 0.132
Ce1 0.000 0.000 0.500
Pa1 0.250 0.250 0.750
S1 0.000 0.049 0.733
S2 0.215 0.250 0.529

=====

No. 2
# Cs6KBr8, optimized geometry, DFT GGA-PBE
# - M_tot: 1.3 μB per formula unit
# - Energy: -2.89 eV/atom
# - Formation energy without anion corrections: -23.82 eV/f.u.
# - V: 48.7 A^3/atom
data_Cs6KBr8
_cell_length_a 10.7067
_cell_length_b 10.7067
_cell_length_c 7.3539
_cell_angle_alpha 90.00
_cell_angle_beta 90.00
_cell_angle_gamma 120.00
_symmetry_space_group_name_H-M 'P -3 1 m'
_symmetry_Int_Tables_number 162
_symmetry_space_group_name_Hall '-P 3 2'
loop_
_atom_site_label
_atom_site_fract_x
_atom_site_fract_y
_atom_site_fract_z
Cs1 0.0000 0.3711 0.2199
K1 0.0000 0.0000 0.5000
Br1 0.0000 0.2833 0.7095
Br2 0.3333 0.6667 0.0000

=====

No. 3
# OsW2Au, optimized geometry, DFT GGA-PBE
# - M_tot: 0.0 μB per formula unit
# - Energy: -9.61 eV/atom
# - Polymorph energy (0 for the lowest one): 0.288 eV/atom
# - V: 16.8 A^3/atom
data_OsW2Au
_cell_length_a 2.931
_cell_length_b 4.567
_cell_length_c 10.061
_cell_angle_alpha 90.00
_cell_angle_beta 90.00
_cell_angle_gamma 90.00
_symmetry_space_group_name_H-M 'I m m 2'
_symmetry_Int_Tables_number 44
loop_
_symmetry_equiv_pos_as_xyz
'x,y,z'
'-x,-y,z'
'-x,y,z'
'x,-y,z'
'x+1/2,y+1/2,z+1/2'
'-x+1/2,-y+1/2,z+1/2'
'-x+1/2,y+1/2,z+1/2'
'x+1/2,-y+1/2,z+1/2'
loop_
_atom_site_label
_atom_site_fract_x
_atom_site_fract_y
_atom_site_fract_z
Os1 0.000 0.000 0.000
W1 0.000 0.000 0.440
W2 0.000 0.500 0.706
Au1 0.000 0.500 0.248

=====

No. 4
# MnTlBr5, optimized geometry, DFT GGA-PBE
# - M_tot: 5.0 μB per formula unit
# - Energy: -3.39 eV/atom
# - Formation energy without anion corrections: -3.86 eV/f.u.
# - Polymorph energy (0 for the lowest one): 0.013 eV/atom
# - V: 36.6 A^3/atom
data_MnTlBr5
_cell_length_a 10.509
_cell_length_b 10.961
_cell_length_c 10.102
_cell_angle_alpha 90.00
_cell_angle_beta 118.30
_cell_angle_gamma 90.00
_symmetry_space_group_name_H-M 'C 1 2/c 1'
_symmetry_Int_Tables_number 15
loop_
_symmetry_equiv_pos_as_xyz
'x,y,z'
'-x,-y,-z'
'-x,y,-z+1/2'
'x,-y,z+1/2'
'x+1/2,y+1/2,z'
'-x+1/2,-y+1/2,-z'
'-x+1/2,y+1/2,-z+1/2'
'x+1/2,-y+1/2,z+1/2'
loop_
_atom_site_label
_atom_site_fract_x
_atom_site_fract_y
_atom_site_fract_z
Mn1 0.000 0.000 0.000
Tl1 0.000 0.369 0.250
Br1 0.000 0.058 0.750
Br2 0.022 0.245 0.486
Br3 0.212 0.463 0.851

=====

No. 5
# Ca2Tl4In, optimized geometry, DFT GGA-PBE
# - M_tot: 0.0 μB per formula unit
# - Energy: -2.26 eV/atom
# - Polymorph energy (0 for the lowest one): 0.096 eV/atom
# - V: 37.6 A^3/atom
data_Ca2Tl4In
_cell_length_a 5.749
_cell_length_b 5.749
_cell_length_c 15.944
_cell_angle_alpha 90.00
_cell_angle_beta 90.00
_cell_angle_gamma 90.00
_symmetry_space_group_name_H-M 'I 4/m m m'
_symmetry_Int_Tables_number 139
_symmetry_space_group_name_Hall '-I 4 2'
loop_
_atom_site_label
_atom_site_fract_x
_atom_site_fract_y
_atom_site_fract_z
Ca1 0.000 0.000 0.115
Tl1 0.000 0.000 0.314
Tl2 0.000 0.500 0.000
In1 0.000 0.000 0.500

=====

No. 6
# LaCrBr2, optimized geometry, DFT GGA-PBE
# - M_tot: 3.3 μB per formula unit
# - Energy: -5.11 eV/atom
# - Formation energy without anion corrections: -2.54 eV/f.u.
# - Polymorph energy (0 for the lowest one): 0.016 eV/atom
# - V: 34.6 A^3/atom
data_LaCrBr2
_cell_length_a 14.595
_cell_length_b 3.830
_cell_length_c 4.954
_cell_angle_alpha 90.00
_cell_angle_beta 90.74
_cell_angle_gamma 90.00
_symmetry_space_group_name_H-M 'C 1 2/m 1'
_symmetry_Int_Tables_number 12
loop_
_symmetry_equiv_pos_as_xyz
'x,y,z'
'-x,-y,-z'
'-x,y,-z'
'x,-y,z'
'x+1/2,y+1/2,z'
'-x+1/2,-y+1/2,-z'
'-x+1/2,y+1/2,-z'
'x+1/2,-y+1/2,z'
loop_
_atom_site_label
_atom_site_fract_x
_atom_site_fract_y
_atom_site_fract_z
La1 0.000 0.000 0.000
Cr1 0.000 0.500 0.500
Br1 0.146 0.500 0.759

=====

No. 7
# MnCr2I, optimized geometry, DFT GGA-PBE
# - M_tot: 4.7 μB per formula unit
# - Energy: -6.45 eV/atom
# - Formation energy without anion corrections: 4.15 eV/f.u.
# - Polymorph energy (0 for the lowest one): 0.182 eV/atom
# - V: 24.8 A^3/atom
data_MnCr2I
_cell_length_a 5.163
_cell_length_b 5.163
_cell_length_c 14.910
_cell_angle_alpha 90.00
_cell_angle_beta 90.00
_cell_angle_gamma 90.00
_symmetry_space_group_name_H-M 'I -4 2 d'
_symmetry_Int_Tables_number 122
_symmetry_space_group_name_Hall 'I -4 2bw'
loop_
_atom_site_label
_atom_site_fract_x
_atom_site_fract_y
_atom_site_fract_z
Mn1 0.000 0.000 0.000
Cr1 0.172 0.250 0.125
I1 0.000 0.000 0.500

=====

No. 8
# HfZrV2, optimized geometry, DFT GGA-PBE
# - M_tot: 4.3 μB per formula unit
# - Energy: -9.00 eV/atom
# - Polymorph energy (0 for the lowest one): 0.000 eV/atom
# - V: 18.4 A^3/atom
data_HfZrV2
_cell_length_a 3.327
_cell_length_b 3.327
_cell_length_c 6.656
_cell_angle_alpha 90.00
_cell_angle_beta 90.00
_cell_angle_gamma 90.00
_symmetry_space_group_name_H-M 'P 4/m m m'
_symmetry_Int_Tables_number 123
_symmetry_space_group_name_Hall '-P 4 2'
loop_
_atom_site_label
_atom_site_fract_x
_atom_site_fract_y
_atom_site_fract_z
Hf1 0.000 0.000 0.000
Zr1 0.000 0.000 0.500
V1 0.500 0.500 0.249

=====

No. 9
# SiIrSe2, optimized geometry, DFT GGA-PBE
# - M_tot: 0.0 μB per formula unit
# - Energy: -5.29 eV/atom
# - Formation energy without anion corrections: 0.09 eV/f.u.
# - V: 18.8 A^3/atom
data_SiIrSe2
_cell_length_a 5.021
_cell_length_b 7.941
_cell_length_c 3.768
_cell_angle_alpha 90.00
_cell_angle_beta 90.00
_cell_angle_gamma 90.00
_symmetry_space_group_name_H-M 'C m m m'
_symmetry_Int_Tables_number 65
_symmetry_space_group_name_Hall '-C 2 2'
loop_
_atom_site_label
_atom_site_fract_x
_atom_site_fract_y
_atom_site_fract_z
Si1 0.000 0.000 0.000
Ir1 0.000 0.500 0.000
Se1 0.000 0.290 0.500

=====

No. 10
# Rb2TlGeBr5, optimized geometry, DFT GGA-PBE
# - M_tot: 0.0 μB per formula unit
# - Energy: -3.07 eV/atom
# - Formation energy without anion corrections: -10.37 eV/f.u.
# - V: 38.5 A^3/atom
data_Rb2TlGeBr5
_cell_length_a 5.374
_cell_length_b 19.270
_cell_length_c 13.392
_cell_angle_alpha 90.00
_cell_angle_beta 90.00
_cell_angle_gamma 90.00
_symmetry_space_group_name_H-M 'C m c 21'
_symmetry_Int_Tables_number 36
loop_
_symmetry_equiv_pos_as_xyz
'x,y,z'
'-x,-y,z+1/2'
'-x,y,z'
'x,-y,z+1/2'
'x+1/2,y+1/2,z'
'-x+1/2,-y+1/2,z+1/2'
'-x+1/2,y+1/2,z'
'x+1/2,-y+1/2,z+1/2'
loop_
_atom_site_label
_atom_site_fract_x
_atom_site_fract_y
_atom_site_fract_z
Rb1 0.000 0.108 0.000
Rb2 0.000 0.145 0.643
Tl1 0.000 0.209 0.345
Ge1 0.000 0.470 0.749
Br1 0.000 0.025 0.287
Br2 0.000 0.285 0.990
Br3 0.000 0.339 0.682
Br4 0.000 0.372 0.319
Br5 0.000 0.484 0.072

=====

No. 11
# Ca2AgI2, optimized geometry, DFT GGA-PBE
# - M_tot: 0.0 μB per formula unit
# - Energy: -2.71 eV/atom
# - Formation energy without anion corrections: -3.57 eV/f.u.
# - V: 33.1 A^3/atom
data_Ca2AgI2
_cell_length_a 8.312
_cell_length_b 8.312
_cell_length_c 4.787
_cell_angle_alpha 90.00
_cell_angle_beta 90.00
_cell_angle_gamma 90.00
_symmetry_space_group_name_H-M 'P 4/m b m'
_symmetry_Int_Tables_number 127
_symmetry_space_group_name_Hall '-P 4 2ab'
loop_
_atom_site_label
_atom_site_fract_x
_atom_site_fract_y
_atom_site_fract_z
Ca1 0.163 0.337 0.000
Ag1 0.000 0.000 0.000
I1 0.154 0.654 0.500

=====

No. 12
# YPuIn2, optimized geometry, DFT GGA-PBE
# - M_tot: 6.3 μB per formula unit
# - Energy: -6.85 eV/atom
# - V: 26.7 A^3/atom
data_YPuIn2
_cell_length_a 4.867
_cell_length_b 4.867
_cell_length_c 4.513
_cell_angle_alpha 90.00
_cell_angle_beta 90.00
_cell_angle_gamma 90.00
_symmetry_space_group_name_H-M 'P 4/m m m'
_symmetry_Int_Tables_number 123
_symmetry_space_group_name_Hall '-P 4 2'
loop_
_atom_site_label
_atom_site_fract_x
_atom_site_fract_y
_atom_site_fract_z
Y1 0.000 0.000 0.000
Pu1 0.500 0.500 0.000
In1 0.000 0.500 0.500